Entry 1:
The following is a DFT calculation (PBE with a Hubbard U) of a relaxed structure of SrVIrO6.

The structure belongs to space group P312 (No. 149); the cell edges are 5.2050, 5.2050 and 5.3638 Å and the angles 90.00°, 90.00° and 120.00°. The asymmetric unit holds Sr at (0.0000, 0.0000, 0.0000), V at (0.3333, 0.6667, 0.5000), Ir at (0.6667, 0.3333, 0.5000) and O at (0.0091, 0.3816, 0.6964).

The density of states at the Fermi level comes out at 0.343 states/eV/atom. For the total energy, the calculation gives -6.99 eV per atom. As for the crystal system: trigonal.

=====

Entry 2:
The following is a DFT calculation (PBE with a Hubbard U) of a relaxed structure of SrVIrO5.

The structure belongs to space group C2/c (No. 15); the cell edges are 6.829, 9.479 and 7.308 Å and the angles 90.00°, 113.08° and 90.00°. The asymmetric unit holds Sr at (0.000, 0.167, 0.250), V at (0.000, 0.184, 0.750), Ir at (0.000, 0.500, 0.000), O at (0.000, 0.430, 0.250), O at (0.100, 0.299, 0.605) and O at (0.190, 0.064, 0.924).

The density of states at the Fermi level comes out at 0.358 states/eV/atom. For the total energy, the calculation gives -7.15 eV per atom. As for the crystal system: monoclinic.